No. 1
The following is a DFT calculation (PBE) of a relaxed Y2HgW crystal.

The density of states at the Fermi level is 4.29 states/eV/cell. Its energy relative to the elements is 0.125 eV/atom.

It has space group Pmmm (No. 47), with a = 3.303 Å, b = 3.689 Å, c = 7.863 Å, α = 90.00°, β = 90.00° and γ = 90.00°. The inequivalent atoms are Y at (0.000, 0.000, 0.227), Hg at (0.500, 0.500, 0.500) and W at (0.500, 0.500, 0.000).



No. 2
The following is a DFT calculation (PBE) of a relaxed YHg2W crystal.

The calculation puts the excess energy over the best structure of this formula in the dataset at 64.2 kJ/mol of formula units. The density of states at the Fermi level is 11.49 states/eV/cell. Its energy relative to the elements is 0.522 eV/atom.

It has space group R-3m (No. 166, hexagonal axes), with a = 3.1043 Å, b = 3.1043 Å, c = 30.6204 Å, α = 90.00°, β = 90.00° and γ = 120.00°. The inequivalent atoms are Y at (0.0000, 0.0000, 0.0000), Hg at (0.0000, 0.0000, 0.2445) and W at (0.0000, 0.0000, 0.5000).



No. 3
The following is a DFT calculation (PBE) of a relaxed Y2HgW crystal.

The density of states at the Fermi level is 15.60 states/eV/cell. Its energy relative to the elements is 0.507 eV/atom.

It has space group F-43m (No. 216), with a = 7.119 Å, b = 7.119 Å, c = 7.119 Å, α = 90.00°, β = 90.00° and γ = 90.00°. The inequivalent atoms are Y at (0.000, 0.000, 0.000), Y at (0.250, 0.250, 0.250), Hg at (0.000, 0.000, 0.500) and W at (0.250, 0.250, 0.750).



No. 4
The following is a DFT calculation (PBE) of a relaxed Y2HgW crystal.

The density of states at the Fermi level is 16.31 states/eV/cell. Its energy relative to the elements is 0.913 eV/atom.

It has space group I-42d (No. 122), with a = 4.414 Å, b = 4.414 Å, c = 20.512 Å, α = 90.00°, β = 90.00° and γ = 90.00°. The inequivalent atoms are Y at (0.239, 0.250, 0.125), Hg at (0.000, 0.000, 0.500) and W at (0.000, 0.000, 0.000).